Entry 1:
Below is crystalline Ba2MgSc at its relaxed geometry, with properties calculated at the PBE level.

## Properties
**E**: -2.750 eV/atom
**E_form**: 193 meV/atom
**Crystal system**: monoclinic

```
data_Ba2MgSc
_space_group_name_H-M_alt 'C 1 m 1'
_space_group_IT_number 8
_space_group_name_Hall 'C -2y'
_cell_length_a 13.6750
_cell_length_b 3.9763
_cell_length_c 6.3142
_cell_angle_alpha 90.00
_cell_angle_beta 111.63
_cell_angle_gamma 90.00
loop_
_atom_site_label
_atom_site_type_symbol
_atom_site_fract_x
_atom_site_fract_y
_atom_site_fract_z
_atom_site_occupancy
Ba1 Ba 0.0000 0.0000 0.0000 1
Ba2 Ba 0.2054 0.0000 0.6627 1
Mg1 Mg 0.4508 0.0000 0.4556 1
Sc1 Sc 0.2656 0.5000 0.2155 1
```

***

Entry 2:
Below is crystalline Ac12Si5Bi3 at its relaxed geometry, with properties calculated at the PBE level.

## Properties
**E**: -4.702 eV/atom
**ΔE_f (raw)**: -577 kJ/mol of formula units
**Crystal system**: cubic

```
data_Ac12Si5Bi3
_space_group_name_H-M_alt 'I a -3 d'
_space_group_IT_number 230
_space_group_name_Hall '-I 4bd 2c 3'
_cell_length_a 18.9166
_cell_length_b 18.9166
_cell_length_c 18.9166
_cell_angle_alpha 90.00
_cell_angle_beta 90.00
_cell_angle_gamma 90.00
loop_
_atom_site_label
_atom_site_type_symbol
_atom_site_fract_x
_atom_site_fract_y
_atom_site_fract_z
_atom_site_occupancy
Ac1 Ac 0.0244 0.0625 0.6494 1
Si1 Si 0.0000 0.0000 0.0000 1
Si2 Si 0.0000 0.2500 0.3750 1
Bi1 Bi 0.0000 0.2500 0.1250 1
```

***

Entry 3:
Below is crystalline CdGaW2Se at its relaxed geometry, with properties calculated at the PBE level.

## Properties
**E**: -4.898 eV/atom
**ΔE_f (raw)**: 853 kJ/mol of formula units
**Crystal system**: tetragonal

```
data_CdGaW2Se
_space_group_name_H-M_alt 'P 4/m m m'
_space_group_IT_number 123
_space_group_name_Hall '-P 4 2'
_cell_length_a 4.7520
_cell_length_b 4.7520
_cell_length_c 4.8420
_cell_angle_alpha 90.00
_cell_angle_beta 90.00
_cell_angle_gamma 90.00
loop_
_atom_site_label
_atom_site_type_symbol
_atom_site_fract_x
_atom_site_fract_y
_atom_site_fract_z
_atom_site_occupancy
Cd1 Cd 0.0000 0.0000 0.0000 1
Ga1 Ga 0.5000 0.5000 0.5000 1
W1 W 0.0000 0.5000 0.5000 1
Se1 Se 0.5000 0.5000 0.0000 1
```

***

Entry 4:
Below is crystalline La3BiI at its relaxed geometry, with properties calculated at the PBE level.

## Properties
**Offset from the most stable computed form**: 0 meV per atom
**E**: -4.731 eV/atom
**ΔE_f (raw)**: -332 kJ/mol of formula units
**Crystal system**: triclinic

```
data_La3BiI
_space_group_name_H-M_alt 'P -1'
_space_group_IT_number 2
_space_group_name_Hall '-P 1'
_cell_length_a 4.3048
_cell_length_b 9.5981
_cell_length_c 10.7689
_cell_angle_alpha 107.60
_cell_angle_beta 101.52
_cell_angle_gamma 102.88
loop_
_atom_site_label
_atom_site_type_symbol
_atom_site_fract_x
_atom_site_fract_y
_atom_site_fract_z
_atom_site_occupancy
La1 La 0.0287 0.4217 0.1347 1
La2 La 0.1881 0.3239 0.5518 1
La3 La 0.3803 0.9460 0.3179 1
Bi1 Bi 0.3346 0.2995 0.8682 1
I1 I 0.4552 0.7126 0.6993 1
```

***

Entry 5:
Below is crystalline La3Sm2In4 at its relaxed geometry, with properties calculated at the PBE level.

## Properties
**Offset from the most stable computed form**: 0 meV per atom
**E**: -4.300 eV/atom
**E_form**: -392 meV/atom
**Crystal system**: monoclinic

```
data_La3Sm2In4
_space_group_name_H-M_alt 'C 1 2/m 1'
_space_group_IT_number 12
_space_group_name_Hall '-C 2y'
_cell_length_a 12.0763
_cell_length_b 5.2044
_cell_length_c 10.2730
_cell_angle_alpha 90.00
_cell_angle_beta 121.10
_cell_angle_gamma 90.00
loop_
_atom_site_label
_atom_site_type_symbol
_atom_site_fract_x
_atom_site_fract_y
_atom_site_fract_z
_atom_site_occupancy
La1 La 0.0000 0.0000 0.0000 1
La2 La 0.1490 0.5000 0.6837 1
Sm1 Sm 0.1436 0.5000 0.3073 1
In1 In 0.0513 0.0000 0.3911 1
In2 In 0.2052 0.5000 0.0392 1
```

***

Entry 6:
Below is crystalline Tb12Tm5Th2 at its relaxed geometry, with properties calculated at the PBE level.

## Properties
**Offset from the most stable computed form**: 127 meV per atom
**E**: -4.731 eV/atom
**E_form**: 152 meV/atom
**Crystal system**: monoclinic

```
data_Tb12Tm5Th2
_space_group_name_H-M_alt 'C 1 2/m 1'
_space_group_IT_number 12
_space_group_name_Hall '-C 2y'
_cell_length_a 15.5855
_cell_length_b 9.3418
_cell_length_c 8.4940
_cell_angle_alpha 90.00
_cell_angle_beta 91.04
_cell_angle_gamma 90.00
loop_
_atom_site_label
_atom_site_type_symbol
_atom_site_fract_x
_atom_site_fract_y
_atom_site_fract_z
_atom_site_occupancy
Tb1 Tb 0.0596 0.0000 0.3262 1
Tb2 Tb 0.0884 0.5000 0.8829 1
Tb3 Tb 0.1265 0.1923 0.6574 1
Tb4 Tb 0.1544 0.3203 0.2401 1
Tm1 Tm 0.0000 0.5000 0.5000 1
Tm2 Tm 0.1956 0.0000 0.0143 1
Tm3 Tm 0.2316 0.5000 0.5752 1
Th1 Th 0.0000 0.1781 0.0000 1
```

***

Which of these has the lowest E? CdGaW2Se